No. 1
Material: Tm2Zn4Ni5
Method: DFT, GGA-PBE
State: relaxed

```
Tm2Zn4Ni5
1.0
-4.534 0.225 -2.658
-4.237 -2.081 1.846
-3.953 6.584 2.095
Ni Tm Zn
5 2 4
Cartesian
-7.496 2.421 -0.023 Ni
-2.267 0.113 -1.329 Ni
-4.386 -0.928 -0.406 Ni
-2.119 -1.040 0.923 Ni
-5.229 2.308 1.306 Ni
-4.948 1.815 -1.817 Tm
-3.539 4.994 1.254 Tm
-6.322 0.403 0.408 Zn
-6.402 4.325 0.876 Zn
-9.400 3.625 0.724 Zn
-3.325 1.104 0.560 Zn
```

***

No. 2
Material: Tm2ZnNi
Method: DFT, GGA-PBE
State: relaxed

```
Tm2ZnNi
1.0
-0.789 -4.231 2.209
-1.126 -3.917 -2.606
3.198 -3.601 -0.458
Ni Tm Zn
1 2 1
Cartesian
0.642 -5.875 -0.428 Ni
0.321 -2.937 -0.214 Tm
0.962 -8.812 -0.641 Tm
0.000 0.000 0.000 Zn
```

Summary:
distance to the lowest polymorph of the same formula: 0.029 eV per atom

***

E_form readings, ordered: -0.31, -0.39 eV/atom